Record 1
A relaxed structure of CeHoPd. Source: Alexandria via LeMat-Bulk, functional GGA-PBE.

Summary:
E = -5.677 eV per atom
SG = No. 12
Distance to the lowest polymorph of the same formula = 0.000 eV per atom
Energy relative to the elements = -1.3 eV per formula unit
Crystal system = monoclinic

abc: 6.235 6.235 6.280
angles: 118.89 118.89 45.73
Element x y z (fractional)
1 Ce 0.043 0.043 0.327
2 Ce 0.957 0.957 0.673
3 Ho 0.327 0.327 0.909
4 Ho 0.673 0.673 0.091
5 Pd 0.324 0.324 0.355
6 Pd 0.676 0.676 0.645



Record 2
A relaxed structure of CeHo2Pd. Source: Alexandria via LeMat-Bulk, functional GGA-PBE.

Summary:
E = -5.307 eV per atom
SG = No. 160
Distance to the lowest polymorph of the same formula = 0.148 eV per atom
Energy relative to the elements = -0.9 eV per formula unit
Crystal system = trigonal

abc: 9.978 9.978 9.978
angles: 21.00 21.00 21.00
Element x y z (fractional)
1 Ce 0.000 0.000 0.000
2 Ho 0.565 0.565 0.565
3 Ho 0.766 0.766 0.766
4 Pd 0.165 0.165 0.165



Record 3
A relaxed structure of CeHoPd6. Source: Alexandria via LeMat-Bulk, functional GGA-PBE.

Summary:
E = -6.094 eV per atom
SG = No. 123
Energy relative to the elements = -7.1 eV per formula unit
Crystal system = tetragonal

abc: 4.130 4.130 8.250
angles: 90.00 90.00 90.00
Element x y z (fractional)
1 Ce 0.000 0.000 0.000
2 Ho 0.000 0.000 0.500
3 Pd 0.000 0.500 0.249
4 Pd 0.000 0.500 0.751
5 Pd 0.500 0.000 0.249
6 Pd 0.500 0.000 0.751
7 Pd 0.500 0.500 0.000
8 Pd 0.500 0.500 0.500



Record 4
A relaxed structure of CeHoPd. Source: Alexandria via LeMat-Bulk, functional GGA-PBE.

Summary:
E = -5.546 eV per atom
SG = No. 216
Distance to the lowest polymorph of the same formula = 0.131 eV per atom
Energy relative to the elements = -0.9 eV per formula unit
Crystal system = cubic

abc: 4.921 4.921 4.921
angles: 60.00 60.00 60.00
Element x y z (fractional)
1 Ce 0.000 0.000 0.000
2 Ho 0.500 0.500 0.500
3 Pd 0.250 0.250 0.250



Record 5
A relaxed structure of CeHo4Pd5. Source: Alexandria via LeMat-Bulk, functional GGA-PBE.

Summary:
E = -5.863 eV per atom
SG = No. 123
Energy relative to the elements = -8.4 eV per formula unit
Crystal system = tetragonal

abc: 3.463 3.463 17.996
angles: 90.00 90.00 90.00
Element x y z (fractional)
1 Ce 0.000 0.000 0.000
2 Ho 0.000 0.000 0.204
3 Ho 0.000 0.000 0.402
4 Ho 0.000 0.000 0.598
5 Ho 0.000 0.000 0.796
6 Pd 0.500 0.500 0.111
7 Pd 0.500 0.500 0.303
8 Pd 0.500 0.500 0.500
9 Pd 0.500 0.500 0.697
10 Pd 0.500 0.500 0.889



Record 6
A relaxed structure of Ce2HoPd. Source: Alexandria via LeMat-Bulk, functional GGA-PBE.

Summary:
E = -5.432 eV per atom
SG = No. 166
Distance to the lowest polymorph of the same formula = 0.209 eV per atom
Energy relative to the elements = -0.1 eV per formula unit
Crystal system = trigonal

abc: 5.247 5.247 5.247
angles: 59.71 59.71 59.71
Element x y z (fractional)
1 Ce 0.249 0.249 0.249
2 Ce 0.751 0.751 0.751
3 Ho 0.000 0.000 0.000
4 Pd 0.500 0.500 0.500



Record 7
A relaxed structure of CeHoPd14. Source: Alexandria via LeMat-Bulk, functional GGA-PBE.

Summary:
E = -5.628 eV per atom
SG = No. 123
Energy relative to the elements = -6.8 eV per formula unit
Crystal system = tetragonal

abc: 5.801 5.801 7.869
angles: 90.00 90.00 90.00
Element x y z (fractional)
1 Ce 0.000 0.000 0.000
2 Ho 0.500 0.500 0.000
3 Pd 0.000 0.000 0.500
4 Pd 0.000 0.500 0.000
5 Pd 0.000 0.500 0.500
6 Pd 0.249 0.249 0.257
7 Pd 0.249 0.249 0.743
8 Pd 0.249 0.751 0.257
9 Pd 0.249 0.751 0.743
10 Pd 0.500 0.000 0.000
11 Pd 0.500 0.000 0.500
12 Pd 0.500 0.500 0.500
13 Pd 0.751 0.249 0.257
14 Pd 0.751 0.249 0.743
15 Pd 0.751 0.751 0.257
16 Pd 0.751 0.751 0.743



Record 8
A relaxed structure of CeHo2Pd9. Source: Alexandria via LeMat-Bulk, functional GGA-PBE.

Summary:
E = -6.038 eV per atom
SG = No. 123
Energy relative to the elements = -10.6 eV per formula unit
Crystal system = tetragonal

abc: 4.127 4.127 12.356
angles: 90.00 90.00 90.00
Element x y z (fractional)
1 Ce 0.000 0.000 0.000
2 Ho 0.000 0.000 0.336
3 Ho 0.000 0.000 0.664
4 Pd 0.000 0.500 0.166
5 Pd 0.000 0.500 0.500
6 Pd 0.000 0.500 0.834
7 Pd 0.500 0.000 0.166
8 Pd 0.500 0.000 0.500
9 Pd 0.500 0.000 0.834
10 Pd 0.500 0.500 0.000
11 Pd 0.500 0.500 0.333
12 Pd 0.500 0.500 0.667